First-principles (PBE) data for an optimized crystal structure of BeHgI2, as listed in Alexandria.

Cell: 5.1648 5.1648 32.1843 Å, 90.00 90.00 120.00°
Space group R-3m (No. 166, hexagonal axes)
Asymmetric unit:
Be 0.0000 0.0000 0.0000 [3 per cell]
Hg 0.0000 0.0000 0.5000 [3 per cell]
I 0.0000 0.0000 0.0673 [6 per cell]

Output
density of states at the Fermi level = 0.0 states/eV per cell
calculated volume = 61.96 Å³/atom
E_tot = -23.454 eV per cell
relative energy among the computed polymorphs = 2.09 kcal/mol of atoms
ΔE_f (raw) = -0.1724 eV/atom